# SbSeN2O | Alexandria | PBE-GGA | relaxed
data_SbSeN2O
_chemical_formula_sum 'Sb1 Se1 N2 O1'
_cell_length_a 3.9805
_cell_length_b 3.9805
_cell_length_c 3.8110
_cell_angle_alpha 90.00
_cell_angle_beta 90.00
_cell_angle_gamma 90.00
_space_group_name_H-M_alt 'P 4/m m m'
_space_group_IT_number 123
_space_group_name_Hall '-P 4 2'
loop_
_atom_site_label
_atom_site_type_symbol
_atom_site_fract_x
_atom_site_fract_y
_atom_site_fract_z
_atom_site_occupancy
Sb1 Sb 0.0000 0.0000 0.0000 1
Se1 Se 0.5000 0.5000 0.5000 1
N1 N 0.0000 0.5000 0.5000 1
O1 O 0.5000 0.5000 0.0000 1
# Formation energy without anion corrections in kcal/mol of atoms: 22.43

# In2FeSbSe | Alexandria | PBE-GGA | relaxed
data_In2FeSbSe
_chemical_formula_sum 'In2 Fe1 Sb1 Se1'
_cell_length_a 5.4398
_cell_length_b 5.4398
_cell_length_c 5.4680
_cell_angle_alpha 90.00
_cell_angle_beta 90.00
_cell_angle_gamma 90.00
_space_group_name_H-M_alt 'P 4/m m m'
_space_group_IT_number 123
_space_group_name_Hall '-P 4 2'
loop_
_atom_site_label
_atom_site_type_symbol
_atom_site_fract_x
_atom_site_fract_y
_atom_site_fract_z
_atom_site_occupancy
In1 In 0.0000 0.5000 0.0000 1
Fe1 Fe 0.0000 0.0000 0.5000 1
Sb1 Sb 0.5000 0.5000 0.5000 1
Se1 Se 0.5000 0.5000 0.0000 1
# Formation energy without anion corrections in kcal/mol of atoms: 21.62

# CuAg2Cl | Alexandria | PBE-GGA | relaxed
data_CuAg2Cl
_chemical_formula_sum 'Cu4 Ag8 Cl4'
_cell_length_a 6.6081
_cell_length_b 6.6081
_cell_length_c 6.6081
_cell_angle_alpha 90.00
_cell_angle_beta 90.00
_cell_angle_gamma 90.00
_space_group_name_H-M_alt 'F m -3 m'
_space_group_IT_number 225
_space_group_name_Hall '-F 4 2 3'
loop_
_atom_site_label
_atom_site_type_symbol
_atom_site_fract_x
_atom_site_fract_y
_atom_site_fract_z
_atom_site_occupancy
Cu1 Cu 0.0000 0.0000 0.0000 1
Ag1 Ag 0.2500 0.2500 0.2500 1
Cl1 Cl 0.0000 0.0000 0.5000 1
# Formation energy without anion corrections in kcal/mol of atoms: 6.50
# Polymorph energy (0 for the lowest one) in meV/atom: 346

# BeRhF | Alexandria | PBE-GGA | relaxed
data_BeRhF
_chemical_formula_sum 'Be2 Rh2 F2'
_cell_length_a 2.5830
_cell_length_b 4.4219
_cell_length_c 7.3895
_cell_angle_alpha 90.00
_cell_angle_beta 90.15
_cell_angle_gamma 90.00
_space_group_name_H-M_alt 'P 1 m 1'
_space_group_IT_number 6
loop_
_space_group_symop_operation_xyz
'x,y,z'
'x,-y,z'
loop_
_atom_site_label
_atom_site_type_symbol
_atom_site_fract_x
_atom_site_fract_y
_atom_site_fract_z
_atom_site_occupancy
Be1 Be 0.0000 0.0000 0.0000 1
Be2 Be 0.4961 0.5000 0.4857 1
Rh1 Rh 0.0002 0.5000 0.2094 1
Rh2 Rh 0.5008 0.0000 0.2763 1
F1 F 0.4990 0.0000 0.8755 1
F2 F 0.9968 0.5000 0.6101 1
# Formation energy without anion corrections in kcal/mol of atoms: -32.16
# Polymorph energy (0 for the lowest one) in meV/atom: 51

# CsRbNa2Li | Alexandria | PBE-GGA | relaxed
data_CsRbNa2Li
_chemical_formula_sum 'Cs1 Rb1 Na2 Li1'
_cell_length_a 6.4940
_cell_length_b 6.4940
_cell_length_c 6.9374
_cell_angle_alpha 90.00
_cell_angle_beta 90.00
_cell_angle_gamma 90.00
_space_group_name_H-M_alt 'P 4/m m m'
_space_group_IT_number 123
_space_group_name_Hall '-P 4 2'
loop_
_atom_site_label
_atom_site_type_symbol
_atom_site_fract_x
_atom_site_fract_y
_atom_site_fract_z
_atom_site_occupancy
Cs1 Cs 0.0000 0.0000 0.0000 1
Rb1 Rb 0.5000 0.5000 0.0000 1
Na1 Na 0.0000 0.5000 0.5000 1
Li1 Li 0.5000 0.5000 0.5000 1
# Polymorph energy (0 for the lowest one) in meV/atom: 0

# DyBe2B2O7 | Alexandria | PBE-GGA | relaxed
data_DyBe2B2O7
_chemical_formula_sum 'Dy3 Be6 B6 O21'
_cell_length_a 4.7070
_cell_length_b 4.7070
_cell_length_c 20.1616
_cell_angle_alpha 90.00
_cell_angle_beta 90.00
_cell_angle_gamma 120.00
_space_group_name_H-M_alt 'R 3 2'
_space_group_IT_number 155
_space_group_name_Hall 'R 3 2"'
loop_
_atom_site_label
_atom_site_type_symbol
_atom_site_fract_x
_atom_site_fract_y
_atom_site_fract_z
_atom_site_occupancy
Dy1 Dy 0.0000 0.0000 0.0000 1
Be1 Be 0.0000 0.0000 0.2534 1
B1 B 0.0000 0.0000 0.4277 1
O1 O 0.0000 0.0000 0.5000 1
O2 O 0.0172 0.3926 0.0708 1
# Formation energy without anion corrections in kcal/mol of atoms: -58.78

First-principles (PBE-GGA) data for an optimized crystal structure of TbEr2ScIn4, as listed in Alexandria.

The structure in CIF format:
```
data_TbEr2ScIn4
_chemical_formula_sum 'Tb3 Er6 Sc3 In12'
_cell_length_a 5.2293
_cell_length_b 5.2293
_cell_length_c 25.7356
_cell_angle_alpha 90.00
_cell_angle_beta 90.00
_cell_angle_gamma 120.00
_space_group_name_H-M_alt 'R -3 m'
_space_group_IT_number 166
_space_group_name_Hall '-R 3 2"'
loop_
_atom_site_label
_atom_site_type_symbol
_atom_site_fract_x
_atom_site_fract_y
_atom_site_fract_z
_atom_site_occupancy
Tb1 Tb 0.0000 0.0000 0.0000 1
Er1 Er 0.0000 0.0000 0.2492 1
Sc1 Sc 0.0000 0.0000 0.5000 1
In1 In 0.0000 0.0000 0.1269 1
In2 In 0.0000 0.0000 0.3771 1
```

# CaSmInI6 | Alexandria | PBE-GGA | relaxed
data_CaSmInI6
_chemical_formula_sum 'Ca2 Sm2 In2 I12'
_cell_length_a 8.0063
_cell_length_b 8.0063
_cell_length_c 15.2549
_cell_angle_alpha 90.00
_cell_angle_beta 90.00
_cell_angle_gamma 120.00
_space_group_name_H-M_alt 'P -3 1 c'
_space_group_IT_number 163
_space_group_name_Hall '-P 3 2c'
loop_
_atom_site_label
_atom_site_type_symbol
_atom_site_fract_x
_atom_site_fract_y
_atom_site_fract_z
_atom_site_occupancy
Ca1 Ca 0.3333 0.6667 0.2500 1
Sm1 Sm 0.3333 0.6667 0.7500 1
In1 In 0.0000 0.0000 0.0000 1
I1 I 0.0045 0.3645 0.6322 1
# Formation energy without anion corrections in kcal/mol of atoms: -29.11

# ZrMn2Re | Alexandria | PBE-GGA | relaxed
data_ZrMn2Re
_chemical_formula_sum 'Zr1 Mn2 Re1'
_cell_length_a 3.9374
_cell_length_b 3.9374
_cell_length_c 4.0004
_cell_angle_alpha 90.00
_cell_angle_beta 90.00
_cell_angle_gamma 90.00
_space_group_name_H-M_alt 'P 4/m m m'
_space_group_IT_number 123
_space_group_name_Hall '-P 4 2'
loop_
_atom_site_label
_atom_site_type_symbol
_atom_site_fract_x
_atom_site_fract_y
_atom_site_fract_z
_atom_site_occupancy
Zr1 Zr 0.0000 0.0000 0.0000 1
Mn1 Mn 0.0000 0.5000 0.5000 1
Re1 Re 0.5000 0.5000 0.0000 1
# Polymorph energy (0 for the lowest one) in meV/atom: 177

# BaPAuS2 | Alexandria | PBE-GGA | relaxed
data_BaPAuS2
_chemical_formula_sum 'Ba1 P1 Au1 S2'
_cell_length_a 4.8022
_cell_length_b 4.8022
_cell_length_c 6.5012
_cell_angle_alpha 90.00
_cell_angle_beta 90.00
_cell_angle_gamma 90.00
_space_group_name_H-M_alt 'P 4/m m m'
_space_group_IT_number 123
_space_group_name_Hall '-P 4 2'
loop_
_atom_site_label
_atom_site_type_symbol
_atom_site_fract_x
_atom_site_fract_y
_atom_site_fract_z
_atom_site_occupancy
Ba1 Ba 0.0000 0.0000 0.0000 1
P1 P 0.5000 0.5000 0.0000 1
Au1 Au 0.0000 0.0000 0.5000 1
S1 S 0.0000 0.5000 0.5000 1
# Formation energy without anion corrections in kcal/mol of atoms: 5.32
# Polymorph energy (0 for the lowest one) in meV/atom: 571

# CrNi3Rh | Alexandria | PBE-GGA | relaxed
data_CrNi3Rh
_chemical_formula_sum 'Cr1 Ni3 Rh1'
_cell_length_a 4.1586
_cell_length_b 4.1586
_cell_length_c 4.1586
_cell_angle_alpha 90.00
_cell_angle_beta 90.00
_cell_angle_gamma 90.00
_space_group_name_H-M_alt 'P m -3 m'
_space_group_IT_number 221
_space_group_name_Hall '-P 4 2 3'
loop_
_atom_site_label
_atom_site_type_symbol
_atom_site_fract_x
_atom_site_fract_y
_atom_site_fract_z
_atom_site_occupancy
Cr1 Cr 0.0000 0.0000 0.0000 1
Ni1 Ni 0.0000 0.0000 0.5000 1
Rh1 Rh 0.5000 0.5000 0.5000 1
# Polymorph energy (0 for the lowest one) in meV/atom: 1058

First-principles (PBE-GGA) data for an optimized crystal structure of ZnTcH2Pb, as listed in Alexandria.

The structure in CIF format:
```
data_ZnTcH2Pb
_chemical_formula_sum 'Zn1 Tc1 H2 Pb1'
_cell_length_a 3.7900
_cell_length_b 3.7900
_cell_length_c 5.9991
_cell_angle_alpha 90.00
_cell_angle_beta 90.00
_cell_angle_gamma 90.00
_space_group_name_H-M_alt 'P 4/m m m'
_space_group_IT_number 123
_space_group_name_Hall '-P 4 2'
loop_
_atom_site_label
_atom_site_type_symbol
_atom_site_fract_x
_atom_site_fract_y
_atom_site_fract_z
_atom_site_occupancy
Zn1 Zn 0.0000 0.0000 0.0000 1
Tc1 Tc 0.5000 0.5000 0.0000 1
H1 H 0.0000 0.5000 0.5000 1
Pb1 Pb 0.0000 0.0000 0.5000 1
```

no.,total DFT energy (no corrections) (eV/atom)
1,-4.87
2,-3.37
3,-2.63
4,-5.71
5,-1.16
6,-7.56
7,-4.31
8,-3.35
9,-9.62
10,-3.54
11,-5.71
12,-3.34